Entry 1:
A geometry-optimized Li3HfGa structure. Source: Alexandria via LeMat-Bulk, functional PBE.

POSCAR file:
```
Li3HfGa
1.0
4.489 0.000 0.000
0.000 4.489 0.000
0.000 0.000 4.489
Li Hf Ga
3 1 1
Cartesian
0.000 0.000 2.244
0.000 2.244 0.000
2.244 0.000 0.000
2.244 2.244 2.244
0.000 0.000 0.000
```

## Properties
- space-group type = Pm-3m, No. 221
- ΔE to the lowest computed polymorph (meV per atom) = 0

***

Entry 2:
A geometry-optimized ReGeTeI2 structure. Source: Alexandria via LeMat-Bulk, functional PBE.

POSCAR file:
```
ReGeTeI2
1.0
5.655 0.000 0.000
0.000 5.655 0.000
0.000 0.000 5.583
Re Ge Te I
1 1 1 2
Cartesian
0.000 0.000 0.000
2.828 2.828 2.792
2.828 2.828 0.000
0.000 2.828 2.792
2.828 0.000 2.792
```

## Properties
- ΔE_f (raw) (kJ per mole of atoms) = 127.3
- space-group type = P4/mmm, No. 123
- ΔE to the lowest computed polymorph (meV per atom) = 428

***

Entry 3:
A geometry-optimized Sm5Tl2Sb structure. Source: Alexandria via LeMat-Bulk, functional PBE.

POSCAR file:
```
Sm5Tl2Sb
1.0
7.324 0.000 0.000
0.000 13.148 0.000
0.000 0.000 5.102
Sm Tl Sb
10 4 2
Cartesian
0.000 0.000 0.000
1.006 3.617 0.000
1.358 7.757 2.551
2.304 1.183 2.551
2.655 10.191 0.000
3.662 6.574 0.000
4.668 2.957 0.000
5.020 11.966 2.551
5.966 5.392 2.551
6.317 9.531 0.000
0.785 11.045 2.551
2.876 4.471 2.551
4.447 8.678 2.551
6.538 2.104 2.551
0.000 6.574 0.000
3.662 0.000 0.000
```

## Properties
- ΔE_f (raw) (kJ per mole of atoms) = -45.9
- space-group type = Pbam, No. 55
- ΔE to the lowest computed polymorph (meV per atom) = 7

***

Entry 4:
A geometry-optimized La4Ir2F5 structure. Source: Alexandria via LeMat-Bulk, functional PBE.

POSCAR file:
```
La4Ir2F5
1.0
10.039 -1.948 0.000
10.039 1.948 0.000
-1.094 0.000 7.125
La Ir F
4 2 5
Cartesian
0.313 0.000 2.025
2.213 0.000 6.510
16.772 0.000 0.615
18.672 0.000 5.100
7.630 0.000 6.923
11.355 0.000 0.202
1.201 0.000 4.348
5.211 0.000 1.015
9.492 0.000 3.563
13.774 0.000 6.111
17.783 0.000 2.777
```

## Properties
- ΔE_f (raw) (kJ per mole of atoms) = -249.5
- space-group type = C2/m, No. 12

***

Entry 5:
A geometry-optimized BeSb2W structure. Source: Alexandria via LeMat-Bulk, functional PBE.

POSCAR file:
```
BeSb2W
1.0
4.038 -1.760 0.000
4.038 1.760 0.000
-4.019 0.000 6.079
Be Sb W
1 2 1
Cartesian
0.000 0.000 0.000
-0.854 0.000 4.448
3.166 0.000 1.630
1.661 0.000 6.078
```

## Properties
- ΔE_f (raw) (kJ per mole of atoms) = 39.5
- space-group type = Cm, No. 8

***

Entry 6:
A geometry-optimized KCCl2 structure. Source: Alexandria via LeMat-Bulk, functional PBE.

POSCAR file:
```
KCCl2
1.0
2.426 1.400 7.397
-2.426 1.400 7.397
0.000 -2.801 7.397
K C Cl
1 1 2
Cartesian
0.000 0.000 0.000
0.000 0.000 11.096
0.000 0.000 8.931
0.000 0.000 13.261
```

## Properties
- ΔE_f (raw) (kJ per mole of atoms) = 50.3
- space-group type = R-3m, No. 166
- ΔE to the lowest computed polymorph (meV per atom) = 81